# 1
# CoGe7Ir4

A relaxed CoGe7Ir4 crystal (PBE, the Alexandria database).

Calculated values
energy of formation = -0.13 eV per atom

abc: 12.723 2.993 10.572
angles: 90.00 102.10 90.00
Space group Cm (No. 8)
Unique sites:
1 Co 0.000 0.000 0.000
2 Ge 0.048 0.000 0.605
3 Ge 0.103 0.500 0.905
4 Ge 0.156 0.000 0.170
5 Ge 0.248 0.500 0.424
6 Ge 0.348 0.000 0.010
7 Ge 0.376 0.500 0.791
8 Ge 0.429 0.000 0.378
9 Ir 0.083 0.000 0.373
10 Ir 0.208 0.000 0.790
11 Ir 0.324 0.500 0.202
12 Ir 0.373 0.000 0.596

---

# 2
# K2CdPt

A relaxed K2CdPt crystal (PBE, the Alexandria database).

Calculated values
distance to the lowest polymorph of the same formula = 168 meV per atom
energy of formation = 0.02 eV per atom

abc: 5.335 5.335 7.590
angles: 90.00 90.00 90.00
Space group I-4m2 (No. 119)
Unique sites:
1 K 0.000 0.000 0.000
2 K 0.000 0.500 0.250
3 Cd 0.000 0.000 0.500
4 Pt 0.000 0.500 0.750

---

# 3
# Ac2PbAu6

A relaxed Ac2PbAu6 crystal (PBE, the Alexandria database).

Calculated values
distance to the lowest polymorph of the same formula = 0 meV per atom
energy of formation = -0.59 eV per atom

abc: 6.7089 6.7089 5.7468
angles: 90.00 90.00 120.00
Space group P-3m1 (No. 164)
Unique sites:
1 Ac 0.3333 0.6667 0.1674
2 Pb 0.0000 0.0000 0.0000
3 Au 0.1893 0.3786 0.6655

---

# 4
# RbYC3

A relaxed RbYC3 crystal (PBE, the Alexandria database).

Calculated values
distance to the lowest polymorph of the same formula = 0 meV per atom
energy of formation = 2.27 eV per atom

abc: 4.751 4.751 4.751
angles: 90.00 90.00 90.00
Space group Pm-3m (No. 221)
Unique sites:
1 Rb 0.000 0.000 0.000
2 Y 0.500 0.500 0.500
3 C 0.000 0.500 0.500